NaZn17Cd: optimized geometry, GGA-PBE.

**Raw total energy**: -1.244 eV per atom
**D(E_F)**: 0.26 states/eV per atom
**Total magnetization**: 0.000 μB per atom

Cell and atoms, written as POSCAR:
```
NaZn17Cd
1.0
6.7975 0.0383 0.8449
0.7510 6.7560 0.8449
0.0426 0.0383 6.8497
Zn Cd Na
17 1 1
Direct
0.3443 0.8503 0.3443
0.1022 0.1022 0.1022
0.2992 0.0007 0.6875
0.4974 0.9898 0.9898
0.9898 0.4974 0.9898
0.0007 0.2992 0.6875
0.6526 0.1549 0.6526
0.9898 0.9898 0.4974
0.8985 0.8985 0.8985
0.3443 0.3443 0.8503
0.0007 0.6875 0.2992
0.6875 0.2992 0.0007
0.6875 0.0007 0.2992
0.1549 0.6526 0.6526
0.6526 0.6526 0.1549
0.2992 0.6875 0.0007
0.8503 0.3443 0.3443
0.3901 0.3901 0.3901
0.6583 0.6583 0.6583
```